Compound: NaGaSn5
Source: the Alexandria database
Functional: PBE-GGA
Structure: optimized geometry

The formation energy is 3 meV per atom. Its total DFT energy (no corrections) is -3.477 eV per atom.

The space group is P4/mmm (No. 123) and the conventional cell measures 5.065, 5.065 and 7.527 Å, with angles of 90.00, 90.00 and 90.00 degrees. Symmetry generates all atoms from Na at (0.000, 0.000, 0.000), Ga at (0.000, 0.000, 0.500), Sn at (0.000, 0.500, 0.291) and Sn at (0.500, 0.500, 0.000).

Compound: Sr2SmAg6
Source: the Alexandria database
Functional: PBE-GGA
Structure: optimized geometry

The formation energy is -255 meV per atom. Its total DFT energy (no corrections) is -3.054 eV per atom.

The space group is P6/mmm (No. 191) and the conventional cell measures 8.3987, 8.3987 and 3.7705 Å, with angles of 90.00, 90.00 and 120.00 degrees. Symmetry generates all atoms from Sr at (0.3333, 0.6667, 0.0000), Sm at (0.0000, 0.0000, 0.0000) and Ag at (0.0000, 0.3299, 0.5000).

Compound: MnAg2Au
Source: the Alexandria database
Functional: PBE-GGA
Structure: optimized geometry

The formation energy is 133 meV per atom. Its total DFT energy (no corrections) is -4.405 eV per atom.

The space group is R3m (No. 160, hexagonal axes) and the conventional cell measures 3.0050, 3.0050 and 26.8781 Å, with angles of 90.00, 90.00 and 120.00 degrees. Symmetry generates all atoms from Mn at (0.0000, 0.0000, 0.0000), Ag at (0.0000, 0.0000, 0.5012), Ag at (0.0000, 0.0000, 0.7475) and Au at (0.0000, 0.0000, 0.2557).

Compound: CaHoZn
Source: the Alexandria database
Functional: PBE-GGA
Structure: optimized geometry

The formation energy is -118 meV per atom. Its total DFT energy (no corrections) is -2.736 eV per atom. As for the energy above the lowest structure with this stoichiometry: 40.7 meV per atom.

The space group is P4/nmm (No. 129, origin choice 2) and the conventional cell measures 4.796, 4.796 and 7.640 Å, with angles of 90.00, 90.00 and 90.00 degrees. Symmetry generates all atoms from Ca at (0.250, 0.250, 0.135), Ho at (0.250, 0.750, 0.500) and Zn at (0.250, 0.250, 0.731).

Compound: ZrTe4Mo
Source: the Alexandria database
Functional: PBE-GGA
Structure: optimized geometry

Its total DFT energy (no corrections) is -4.248 eV per atom. As for the formation energy from raw total energies: 1.076 eV per atom.

The space group is F-43m (No. 216) and the conventional cell measures 8.687, 8.687 and 8.687 Å, with angles of 90.00, 90.00 and 90.00 degrees. Symmetry generates all atoms from Zr at (0.000, 0.000, 0.000), Te at (0.125, 0.125, 0.375) and Mo at (0.250, 0.250, 0.750).

Compound: Li5Er3F12
Source: the Alexandria database
Functional: PBE-GGA
Structure: optimized geometry

Its total DFT energy (no corrections) is -5.538 eV per atom. As for the formation energy from raw total energies: -3.253 eV per atom.

The space group is Ia-3d (No. 230) and the conventional cell measures 12.243, 12.243 and 12.243 Å, with angles of 90.00, 90.00 and 90.00 degrees. Symmetry generates all atoms from Li at (0.000, 0.000, 0.000), Li at (0.000, 0.250, 0.375), Er at (0.000, 0.250, 0.125) and F at (0.032, 0.060, 0.653).